First-principles (GGA-PBE) data for an optimized crystal structure of Ti8SnSb2, as listed in the Alexandria database.

Structure (POSCAR):
```
Ti8SnSb2
1.0
3.6269 -6.2749 0.0000
3.6269 6.2749 0.0000
-2.1761 0.0000 4.5863
Ti Sn Sb
8 1 2
Direct
0.0949 0.3094 0.6471
0.2254 0.7746 0.0000
0.3094 0.0949 0.6471
0.4188 0.4188 0.1970
0.5812 0.5812 0.8030
0.6906 0.9051 0.3529
0.7746 0.2254 0.0000
0.9051 0.6906 0.3529
0.0000 0.0000 0.0000
0.3043 0.6957 0.5000
0.6957 0.3043 0.5000
```

The value obtained for the volume is 209 Å³ per cell. The calculation puts the magnetic moment at 0.00 Bohr magnetons per cell. The formation energy from raw total energies comes out at -0.188 eV/atom. Its crystal system is monoclinic. For the density of states at the Fermi level, the calculation gives 11.7 states/eV/f.u. As for the space-group type: C2/m.



First-principles (GGA-PBE) data for an optimized crystal structure of TiSnSb2, as listed in the Alexandria database.

Structure (POSCAR):
```
TiSnSb2
1.0
3.5043 0.0000 0.0000
0.0000 3.5043 0.0000
0.0000 0.0000 7.7791
Ti Sn Sb
1 1 2
Direct
0.0000 0.0000 0.0000
0.0000 0.0000 0.5000
0.5000 0.5000 0.2009
0.5000 0.5000 0.7991
```

The value obtained for the volume is 96 Å³ per cell. The calculation puts the magnetic moment at 0.00 Bohr magnetons per cell. The formation energy from raw total energies comes out at -0.107 eV/atom. Its crystal system is tetragonal. For the density of states at the Fermi level, the calculation gives 3.8 states/eV/f.u. As for the space-group type: P4/mmm.



First-principles (GGA-PBE) data for an optimized crystal structure of Ti2Sn2Sb, as listed in the Alexandria database.

Structure (POSCAR):
```
Ti2Sn2Sb
1.0
8.5510 0.0000 0.0000
0.0000 8.5510 0.0000
0.0000 0.0000 3.0710
Ti Sn Sb
4 4 2
Direct
0.1170 0.3830 0.0000
0.3830 0.8830 0.0000
0.6170 0.1170 0.0000
0.8830 0.6170 0.0000
0.1735 0.6735 0.5000
0.3265 0.1735 0.5000
0.6735 0.8265 0.5000
0.8265 0.3265 0.5000
0.0000 0.0000 0.5000
0.5000 0.5000 0.5000
```

The value obtained for the volume is 225 Å³ per cell. Its energy above the lowest structure with this stoichiometry is 224 meV per atom. The calculation puts the magnetic moment at 0.00 Bohr magnetons per cell. The formation energy from raw total energies comes out at 0.000 eV/atom. Its crystal system is tetragonal. For the density of states at the Fermi level, the calculation gives 5.1 states/eV/f.u. As for the space-group type: P4/mbm.



First-principles (GGA-PBE) data for an optimized crystal structure of TiSnSb, as listed in the Alexandria database.

Structure (POSCAR):
```
TiSnSb
1.0
3.9710 0.0000 0.0000
0.0000 3.9710 0.0000
0.0000 0.0000 8.4215
Ti Sn Sb
2 2 2
Direct
0.2500 0.2500 0.2350
0.7500 0.7500 0.7650
0.2500 0.7500 0.5000
0.7500 0.2500 0.5000
0.2500 0.2500 0.8837
0.7500 0.7500 0.1163
```

The value obtained for the volume is 133 Å³ per cell. Its energy above the lowest structure with this stoichiometry is 96 meV per atom. The calculation puts the magnetic moment at 0.00 Bohr magnetons per cell. The formation energy from raw total energies comes out at -0.240 eV/atom. Its crystal system is tetragonal. For the density of states at the Fermi level, the calculation gives 1.6 states/eV/f.u. As for the space-group type: P4/nmm.



First-principles (GGA-PBE) data for an optimized crystal structure of Ti7Sn2Sb2, as listed in the Alexandria database.

Structure (POSCAR):
```
Ti7Sn2Sb2
1.0
5.2572 -4.2446 0.0000
5.2572 4.2446 0.0000
-1.3442 0.0000 4.9531
Ti Sn Sb
7 2 2
Direct
0.0000 0.0000 0.0000
0.0660 0.3990 0.2736
0.3990 0.0660 0.2736
0.4953 0.4953 0.2592
0.5047 0.5047 0.7408
0.6010 0.9340 0.7264
0.9340 0.6010 0.7264
0.1993 0.8007 0.5000
0.8007 0.1993 0.5000
0.2567 0.2567 0.8174
0.7433 0.7433 0.1826
```

The value obtained for the volume is 221 Å³ per cell. The calculation puts the magnetic moment at 3.00 Bohr magnetons per cell. The formation energy from raw total energies comes out at -0.064 eV/atom. Its crystal system is monoclinic. For the density of states at the Fermi level, the calculation gives 12.1 states/eV/f.u. As for the space-group type: C2/m.



First-principles (GGA-PBE) data for an optimized crystal structure of Ti4SnSb2, as listed in the Alexandria database.

Structure (POSCAR):
```
Ti4SnSb2
1.0
3.5869 0.0000 0.0000
0.0000 4.2517 0.0000
0.0000 0.0000 20.8525
Ti Sn Sb
8 2 4
Direct
0.0000 0.0000 0.1322
0.0000 0.0000 0.8678
0.0000 0.5000 0.2573
0.0000 0.5000 0.7427
0.5000 0.0000 0.2427
0.5000 0.0000 0.7573
0.5000 0.5000 0.3678
0.5000 0.5000 0.6322
0.0000 0.0000 0.0000
0.5000 0.5000 0.5000
0.0000 0.0000 0.3510
0.0000 0.0000 0.6490
0.5000 0.5000 0.1490
0.5000 0.5000 0.8510
```

The value obtained for the volume is 318 Å³ per cell. Its energy above the lowest structure with this stoichiometry is 215 meV per atom. The calculation puts the magnetic moment at 0.00 Bohr magnetons per cell. The formation energy from raw total energies comes out at -0.202 eV/atom. Its crystal system is orthorhombic. For the density of states at the Fermi level, the calculation gives 8.3 states/eV/f.u. As for the space-group type: Immm.



First-principles (GGA-PBE) data for an optimized crystal structure of Ti6SnSb, as listed in the Alexandria database.

Structure (POSCAR):
```
Ti6SnSb
1.0
4.7524 0.0000 0.0000
0.0000 6.2073 0.0000
0.0000 0.0000 9.6947
Ti Sn Sb
12 2 2
Direct
0.0000 0.0000 0.0000
0.0000 0.2307 0.2765
0.0000 0.2693 0.7765
0.0000 0.5000 0.5000
0.0000 0.7307 0.7765
0.0000 0.7693 0.2765
0.5000 0.0000 0.7400
0.5000 0.2333 0.4615
0.5000 0.2667 0.9615
0.5000 0.5000 0.2400
0.5000 0.7333 0.9615
0.5000 0.7667 0.4615
0.0000 0.0000 0.5407
0.0000 0.5000 0.0407
0.5000 0.0000 0.1983
0.5000 0.5000 0.6983
```

The value obtained for the volume is 286 Å³ per cell. The calculation puts the magnetic moment at 0.00 Bohr magnetons per cell. The formation energy from raw total energies comes out at -0.340 eV/atom. Its crystal system is orthorhombic. For the density of states at the Fermi level, the calculation gives 7.1 states/eV/f.u. As for the space-group type: Amm2.



First-principles (GGA-PBE) data for an optimized crystal structure of Ti2Sn2Sb, as listed in the Alexandria database.

Structure (POSCAR):
```
Ti2Sn2Sb
1.0
3.9670 0.0000 0.0000
0.0000 3.9670 0.0000
0.0000 0.0000 14.1629
Ti Sn Sb
4 4 2
Direct
0.0000 0.0000 0.0954
0.0000 0.0000 0.9046
0.5000 0.5000 0.4046
0.5000 0.5000 0.5954
0.0000 0.5000 0.2500
0.0000 0.5000 0.7500
0.5000 0.0000 0.2500
0.5000 0.0000 0.7500
0.0000 0.0000 0.5000
0.5000 0.5000 0.0000
```

The value obtained for the volume is 223 Å³ per cell. Its energy above the lowest structure with this stoichiometry is 145 meV per atom. The calculation puts the magnetic moment at 1.62 Bohr magnetons per cell. The formation energy from raw total energies comes out at -0.078 eV/atom. Its crystal system is tetragonal. For the density of states at the Fermi level, the calculation gives 1.7 states/eV/f.u. As for the space-group type: I4/mmm.



First-principles (GGA-PBE) data for an optimized crystal structure of TiSnSb, as listed in the Alexandria database.

Structure (POSCAR):
```
TiSnSb
1.0
0.0000 4.8949 9.8216
2.7455 0.0000 9.8216
2.7455 4.8949 0.0000
Ti Sn Sb
4 4 4
Direct
0.0013 0.0013 0.7487
0.2513 0.2513 0.9987
0.7487 0.7487 0.0013
0.9987 0.9987 0.2513
0.0418 0.7082 0.0418
0.2918 0.9582 0.2918
0.7082 0.0418 0.7082
0.9582 0.2918 0.9582
0.2974 0.2974 0.4526
0.4526 0.4526 0.2974
0.5474 0.5474 0.7026
0.7026 0.7026 0.5474
```

The value obtained for the volume is 264 Å³ per cell. Its energy above the lowest structure with this stoichiometry is 0 meV per atom. The calculation puts the magnetic moment at 0.00 Bohr magnetons per cell. The formation energy from raw total energies comes out at -0.336 eV/atom. Its crystal system is orthorhombic. For the density of states at the Fermi level, the calculation gives 2.4 states/eV/f.u. As for the space-group type: Fddd.



First-principles (GGA-PBE) data for an optimized crystal structure of Ti2SnSb2, as listed in the Alexandria database.

Structure (POSCAR):
```
Ti2SnSb2
1.0
7.4459 0.0000 0.0000
0.0000 5.3269 0.0000
0.0000 0.0000 12.0584
Ti Sn Sb
8 4 8
Direct
0.0575 0.2500 0.2499
0.0728 0.2500 0.5863
0.4272 0.7500 0.0863
0.4425 0.7500 0.7499
0.5575 0.2500 0.2501
0.5728 0.2500 0.9137
0.9272 0.7500 0.4137
0.9425 0.7500 0.7501
0.1758 0.7500 0.9202
0.3242 0.2500 0.4202
0.6758 0.7500 0.5798
0.8242 0.2500 0.0798
0.0674 0.7500 0.2005
0.1961 0.7500 0.5732
0.3039 0.2500 0.0732
0.4326 0.2500 0.7005
0.5674 0.7500 0.2995
0.6961 0.7500 0.9268
0.8039 0.2500 0.4268
0.9326 0.2500 0.7995
```

The value obtained for the volume is 478 Å³ per cell. Its energy above the lowest structure with this stoichiometry is 130 meV per atom. The calculation puts the magnetic moment at 0.00 Bohr magnetons per cell. The formation energy from raw total energies comes out at -0.160 eV/atom. Its crystal system is orthorhombic. For the density of states at the Fermi level, the calculation gives 2.9 states/eV/f.u. As for the space-group type: Pnma.



First-principles (GGA-PBE) data for an optimized crystal structure of Ti4Sn2Sb, as listed in the Alexandria database.

Structure (POSCAR):
```
Ti4Sn2Sb
1.0
4.8969 0.0000 0.0000
0.0000 4.8969 0.0000
0.0000 0.0000 14.6080
Ti Sn Sb
8 4 2
Direct
0.0000 0.0000 0.1793
0.0000 0.0000 0.8207
0.0000 0.5000 0.0000
0.0000 0.5000 0.5000
0.5000 0.0000 0.0000
0.5000 0.0000 0.5000
0.5000 0.5000 0.3207
0.5000 0.5000 0.6793
0.0000 0.0000 0.3702
0.0000 0.0000 0.6298
0.5000 0.5000 0.1298
0.5000 0.5000 0.8702
0.0000 0.0000 0.0000
0.5000 0.5000 0.5000
```

The value obtained for the volume is 350 Å³ per cell. Its energy above the lowest structure with this stoichiometry is 704 meV per atom. The calculation puts the magnetic moment at 8.25 Bohr magnetons per cell. The formation energy from raw total energies comes out at 0.448 eV/atom. Its crystal system is tetragonal. For the density of states at the Fermi level, the calculation gives 10.3 states/eV/f.u. As for the space-group type: I4/mmm.



First-principles (GGA-PBE) data for an optimized crystal structure of Ti2SnSb2, as listed in the Alexandria database.

Structure (POSCAR):
```
Ti2SnSb2
1.0
7.5383 0.0000 0.0000
0.0000 7.5383 0.0000
0.0000 0.0000 3.7681
Ti Sn Sb
4 2 4
Direct
0.1429 0.3571 0.0000
0.3571 0.8571 0.0000
0.6429 0.1429 0.0000
0.8571 0.6429 0.0000
0.0000 0.0000 0.0000
0.5000 0.5000 0.0000
0.1522 0.6522 0.5000
0.3478 0.1522 0.5000
0.6522 0.8478 0.5000
0.8478 0.3478 0.5000
```

The value obtained for the volume is 214 Å³ per cell. Its energy above the lowest structure with this stoichiometry is 0 meV per atom. The calculation puts the magnetic moment at 0.00 Bohr magnetons per cell. The formation energy from raw total energies comes out at -0.289 eV/atom. Its crystal system is tetragonal. For the density of states at the Fermi level, the calculation gives 3.9 states/eV/f.u. As for the space-group type: P4/mbm.



Which formula does entry 4 have?
TiSnSb



Number 6 is which compound?
Ti4SnSb2



What is the formula in the first record?
Ti8SnSb2



Which value of formation energy from raw total energies does entry 7 give?
-0.340 eV/atom